First-principles (PBE) data for KMg4F8 after structural relaxation, as listed in Alexandria.

```
KMg4F8
1.0
0.000 4.632 4.632
4.632 0.000 4.632
4.632 4.632 0.000
K Mg F
1 4 8
Cartesian
0.000 0.000 0.000
5.774 3.491 3.491
3.491 5.774 3.491
3.491 3.491 5.774
5.774 5.774 5.774
3.694 3.694 3.694
5.570 5.570 3.694
5.570 3.694 5.570
7.859 6.038 6.038
3.694 5.570 5.570
6.038 7.859 6.038
6.038 6.038 7.859
7.859 7.859 7.859
```

E_form (uncorrected) = -3.0833 eV per atom